No. 1
A relaxed structure of ZrRuSe2Br, computed with PBE.

```
ZrRuSe2Br
1.0
4.856 0.000 0.000
0.000 4.856 0.000
0.000 0.000 4.847
Zr Ru Se Br
1 1 2 1
Cartesian
0.000 0.000 0.000
2.428 2.428 2.424
0.000 2.428 2.424
2.428 0.000 2.424
2.428 2.428 0.000
```

Uncorrected formation energy: 1.4 eV/f.u.
Total magnetic moment: 0.00 μB per atom
Polymorph energy (0 for the lowest one): 7 meV per atom
Total energy: -25.1 eV/cell

***

No. 2
A relaxed structure of GeIrO2, computed with PBE.

```
GeIrO2
1.0
1.466 0.846 6.324
-1.466 0.846 6.324
0.000 -1.693 6.324
Ge Ir O
1 1 2
Cartesian
0.000 0.000 0.000
0.000 0.000 9.485
0.000 0.000 7.422
0.000 0.000 11.549
```

Uncorrected formation energy: -2.0 eV/f.u.
Total magnetic moment: 0.00 μB per atom
Total energy: -25.4 eV/cell

***

No. 3
A relaxed structure of MnVFe2H, computed with PBE.

```
MnVFe2H
1.0
3.595 0.000 0.000
0.000 3.595 0.000
0.000 0.000 3.659
Mn V Fe H
1 1 2 1
Cartesian
0.000 0.000 0.000
1.798 1.798 0.000
0.000 1.798 1.829
1.798 0.000 1.829
0.000 0.000 1.829
```

Total magnetic moment: 0.54 μB per atom
Polymorph energy (0 for the lowest one): 0 meV per atom
Total energy: -38.8 eV/cell

***

No. 4
A relaxed structure of SiNiAs, computed with PBE.

```
SiNiAs
1.0
-1.402 1.408 5.601
1.402 -1.408 5.601
1.402 1.408 -5.601
Si Ni As
1 1 1
Cartesian
0.000 0.000 0.000
0.000 0.000 7.029
0.000 0.000 3.096
```

Uncorrected formation energy: 0.1 eV/f.u.
Total magnetic moment: 0.00 μB per atom
Total energy: -15.7 eV/cell

***

No. 5
A relaxed structure of CuNi3Pt4, computed with PBE.

```
CuNi3Pt4
1.0
8.759 0.000 0.000
0.000 5.487 0.000
0.000 0.000 4.519
Cu Ni Pt
2 6 8
Cartesian
0.000 0.000 0.000
4.380 0.000 0.000
0.000 2.744 0.000
2.190 0.000 1.638
2.190 2.744 1.628
4.380 2.744 0.000
6.569 0.000 2.881
6.569 2.744 2.892
0.000 1.378 2.260
0.000 4.109 2.260
2.190 1.382 3.926
2.190 4.106 3.926
4.380 1.378 2.260
4.380 4.109 2.260
6.569 1.382 0.594
6.569 4.106 0.594
```

Total magnetic moment: 0.41 μB per atom
Formation energy from the elements: -0.09 eV/atom
Total energy: -92.6 eV/cell

***

No. 6
A relaxed structure of Zr5Bi2N, computed with PBE.

```
Zr5Bi2N
1.0
-3.151 3.151 4.590
3.151 -3.151 4.590
3.151 3.151 -4.590
Zr Bi N
5 2 1
Cartesian
0.000 0.000 0.000
1.595 1.595 2.296
1.556 -1.556 6.886
-1.556 1.556 6.886
1.556 1.556 6.886
3.151 0.000 4.553
0.000 3.151 4.553
0.000 0.000 6.768
```

Uncorrected formation energy: -3.2 eV/f.u.
Total magnetic moment: 0.00 μB per atom
Total energy: -62.0 eV/cell

***

- Which of these has the highest total energy?
  SiNiAs

***

- Which of these has the lowest total energy?
  CuNi3Pt4